No. 1
# La5Nd2Mg (GGA-PBE, optimized geometry)
# symmetry: I4mm, No. 107
# ΔH_f (0 K): -0.0166 eV per atom
data_La5Nd2Mg
_chemical_formula_sum 'La5 Nd2 Mg1'
_cell_length_a 7.302
_cell_length_b 7.302
_cell_length_c 7.302
_cell_angle_alpha 119.77
_cell_angle_beta 119.77
_cell_angle_gamma 90.39
_symmetry_space_group_name_H-M 'P 1'
_symmetry_Int_Tables_number 1
loop_
_symmetry_equiv_pos_as_xyz
'x,y,z'
loop_
_atom_site_label
_atom_site_type_symbol
_atom_site_fract_x
_atom_site_fract_y
_atom_site_fract_z
_atom_site_occupancy
La1 La 0.000 0.000 0.000 1
La2 La 0.001 0.001 0.501 1
La3 La 0.001 0.500 0.000 1
La4 La 0.500 0.001 0.000 1
La5 La 0.500 0.500 0.499 1
Nd1 Nd 0.000 0.500 0.500 1
Nd2 Nd 0.500 0.000 0.500 1
Mg1 Mg 0.501 0.501 0.000 1

No. 2
# La8Nd3Mg (GGA-PBE, optimized geometry)
# symmetry: P-1, No. 2
# ΔH_f (0 K): 0.0079 eV per atom
data_La8Nd3Mg
_chemical_formula_sum 'La8 Nd3 Mg1'
_cell_length_a 5.242
_cell_length_b 8.178
_cell_length_c 10.477
_cell_angle_alpha 71.31
_cell_angle_beta 89.93
_cell_angle_gamma 89.99
_symmetry_space_group_name_H-M 'P 1'
_symmetry_Int_Tables_number 1
loop_
_symmetry_equiv_pos_as_xyz
'x,y,z'
loop_
_atom_site_label
_atom_site_type_symbol
_atom_site_fract_x
_atom_site_fract_y
_atom_site_fract_z
_atom_site_occupancy
La1 La 0.000 0.165 0.332 1
La2 La 0.000 0.835 0.668 1
La3 La 0.001 0.830 0.166 1
La4 La 0.500 0.166 0.082 1
La5 La 0.500 0.167 0.584 1
La6 La 0.500 0.833 0.416 1
La7 La 0.500 0.834 0.918 1
La8 La 0.999 0.170 0.834 1
Nd1 Nd 0.000 0.500 0.500 1
Nd2 Nd 0.500 0.499 0.248 1
Nd3 Nd 0.500 0.501 0.752 1
Mg1 Mg 0.000 0.500 0.000 1

No. 3
# La2NdMg (GGA-PBE, optimized geometry)
# symmetry: Fm-3m, No. 225
# ΔH_f (0 K): 0.0305 eV per atom
data_La2NdMg
_chemical_formula_sum 'La2 Nd1 Mg1'
_cell_length_a 5.756
_cell_length_b 5.756
_cell_length_c 5.756
_cell_angle_alpha 60.00
_cell_angle_beta 60.00
_cell_angle_gamma 60.00
_symmetry_space_group_name_H-M 'P 1'
_symmetry_Int_Tables_number 1
loop_
_symmetry_equiv_pos_as_xyz
'x,y,z'
loop_
_atom_site_label
_atom_site_type_symbol
_atom_site_fract_x
_atom_site_fract_y
_atom_site_fract_z
_atom_site_occupancy
La1 La 0.250 0.250 0.250 1
La2 La 0.750 0.750 0.750 1
Nd1 Nd 0.000 0.000 0.000 1
Mg1 Mg 0.500 0.500 0.500 1

No. 4
# La4Nd3Mg (GGA-PBE, optimized geometry)
# symmetry: C2/m, No. 12
# ΔH_f (0 K): 0.1531 eV per atom
data_La4Nd3Mg
_chemical_formula_sum 'La4 Nd3 Mg1'
_cell_length_a 14.443
_cell_length_b 14.443
_cell_length_c 5.447
_cell_angle_alpha 92.26
_cell_angle_beta 92.26
_cell_angle_gamma 14.78
_symmetry_space_group_name_H-M 'P 1'
_symmetry_Int_Tables_number 1
loop_
_symmetry_equiv_pos_as_xyz
'x,y,z'
loop_
_atom_site_label
_atom_site_type_symbol
_atom_site_fract_x
_atom_site_fract_y
_atom_site_fract_z
_atom_site_occupancy
La1 La 0.097 0.097 0.217 1
La2 La 0.218 0.218 0.250 1
La3 La 0.782 0.782 0.750 1
La4 La 0.903 0.903 0.783 1
Nd1 Nd 0.349 0.349 0.273 1
Nd2 Nd 0.500 0.500 0.000 1
Nd3 Nd 0.651 0.651 0.727 1
Mg1 Mg 0.000 0.000 0.500 1

No. 5
# La3Nd7Mg (GGA-PBE, optimized geometry)
# symmetry: C2/m, No. 12
# ΔH_f (0 K): 0.1995 eV per atom
data_La3Nd7Mg
_chemical_formula_sum 'La3 Nd7 Mg1'
_cell_length_a 7.881
_cell_length_b 7.881
_cell_length_c 6.539
_cell_angle_alpha 90.75
_cell_angle_beta 90.75
_cell_angle_gamma 83.26
_symmetry_space_group_name_H-M 'P 1'
_symmetry_Int_Tables_number 1
loop_
_symmetry_equiv_pos_as_xyz
'x,y,z'
loop_
_atom_site_label
_atom_site_type_symbol
_atom_site_fract_x
_atom_site_fract_y
_atom_site_fract_z
_atom_site_occupancy
La1 La 0.000 0.000 0.000 1
La2 La 0.173 0.827 0.500 1
La3 La 0.827 0.173 0.500 1
Nd1 Nd 0.111 0.444 0.228 1
Nd2 Nd 0.239 0.239 0.707 1
Nd3 Nd 0.444 0.111 0.228 1
Nd4 Nd 0.500 0.500 0.500 1
Nd5 Nd 0.556 0.889 0.772 1
Nd6 Nd 0.761 0.761 0.293 1
Nd7 Nd 0.889 0.556 0.772 1
Mg1 Mg 0.500 0.500 0.000 1

No. 6
# La5Nd12Mg2 (GGA-PBE, optimized geometry)
# symmetry: C2/m, No. 12
# ΔH_f (0 K): 0.0683 eV per atom
data_La5Nd12Mg2
_chemical_formula_sum 'La5 Nd12 Mg2'
_cell_length_a 9.288
_cell_length_b 9.288
_cell_length_c 8.810
_cell_angle_alpha 92.93
_cell_angle_beta 92.93
_cell_angle_gamma 60.57
_symmetry_space_group_name_H-M 'P 1'
_symmetry_Int_Tables_number 1
loop_
_symmetry_equiv_pos_as_xyz
'x,y,z'
loop_
_atom_site_label
_atom_site_type_symbol
_atom_site_fract_x
_atom_site_fract_y
_atom_site_fract_z
_atom_site_occupancy
La1 La 0.000 0.000 0.000 1
La2 La 0.231 0.231 0.069 1
La3 La 0.293 0.293 0.471 1
La4 La 0.707 0.707 0.529 1
La5 La 0.769 0.769 0.931 1
Nd1 Nd 0.041 0.674 0.262 1
Nd2 Nd 0.073 0.073 0.382 1
Nd3 Nd 0.178 0.565 0.814 1
Nd4 Nd 0.326 0.959 0.738 1
Nd5 Nd 0.435 0.822 0.186 1
Nd6 Nd 0.444 0.444 0.159 1
Nd7 Nd 0.556 0.556 0.841 1
Nd8 Nd 0.565 0.178 0.814 1
Nd9 Nd 0.674 0.041 0.262 1
Nd10 Nd 0.822 0.435 0.186 1
Nd11 Nd 0.927 0.927 0.618 1
Nd12 Nd 0.959 0.326 0.738 1
Mg1 Mg 0.337 0.663 0.500 1
Mg2 Mg 0.663 0.337 0.500 1

No. 7
# La5Nd2Mg (GGA-PBE, optimized geometry)
# symmetry: Fmm2, No. 42
# ΔH_f (0 K): -0.0049 eV per atom
data_La5Nd2Mg
_chemical_formula_sum 'La5 Nd2 Mg1'
_cell_length_a 8.715
_cell_length_b 7.425
_cell_length_c 6.944
_cell_angle_alpha 74.60
_cell_angle_beta 55.22
_cell_angle_gamma 50.19
_symmetry_space_group_name_H-M 'P 1'
_symmetry_Int_Tables_number 1
loop_
_symmetry_equiv_pos_as_xyz
'x,y,z'
loop_
_atom_site_label
_atom_site_type_symbol
_atom_site_fract_x
_atom_site_fract_y
_atom_site_fract_z
_atom_site_occupancy
La1 La 0.000 0.000 0.000 1
La2 La 0.004 0.470 0.996 1
La3 La 0.403 0.403 0.097 1
La4 La 0.470 0.004 0.530 1
La5 La 0.903 0.903 0.597 1
Nd1 Nd 0.413 0.890 0.110 1
Nd2 Nd 0.890 0.413 0.587 1
Mg1 Mg 0.489 0.489 0.511 1

No. 8
# La4Nd3Mg (GGA-PBE, optimized geometry)
# symmetry: Pmn2_1, No. 31
# ΔH_f (0 K): -0.0019 eV per atom
data_La4Nd3Mg
_chemical_formula_sum 'La8 Nd6 Mg2'
_cell_length_a 10.478
_cell_length_b 7.208
_cell_length_c 7.281
_cell_angle_alpha 90.00
_cell_angle_beta 90.00
_cell_angle_gamma 90.00
_symmetry_space_group_name_H-M 'P 1'
_symmetry_Int_Tables_number 1
loop_
_symmetry_equiv_pos_as_xyz
'x,y,z'
loop_
_atom_site_label
_atom_site_type_symbol
_atom_site_fract_x
_atom_site_fract_y
_atom_site_fract_z
_atom_site_occupancy
La1 La 0.000 0.000 0.000 1
La2 La 0.000 0.499 0.502 1
La3 La 0.249 0.754 0.251 1
La4 La 0.251 0.246 0.751 1
La5 La 0.500 0.000 0.500 1
La6 La 0.500 0.501 0.002 1
La7 La 0.749 0.246 0.751 1
La8 La 0.751 0.754 0.251 1
Nd1 Nd 0.000 0.500 0.000 1
Nd2 Nd 0.250 0.244 0.251 1
Nd3 Nd 0.250 0.756 0.751 1
Nd4 Nd 0.500 0.500 0.500 1
Nd5 Nd 0.750 0.244 0.251 1
Nd6 Nd 0.750 0.756 0.751 1
Mg1 Mg 0.000 0.000 0.501 1
Mg2 Mg 0.500 0.000 0.001 1

No. 9
# La12NdMg3 (GGA-PBE, optimized geometry)
# symmetry: P4/mmm, No. 123
# ΔH_f (0 K): -0.0141 eV per atom
data_La12NdMg3
_chemical_formula_sum 'La12 Nd1 Mg3'
_cell_length_a 5.155
_cell_length_b 5.155
_cell_length_c 20.637
_cell_angle_alpha 90.00
_cell_angle_beta 90.00
_cell_angle_gamma 90.00
_symmetry_space_group_name_H-M 'P 1'
_symmetry_Int_Tables_number 1
loop_
_symmetry_equiv_pos_as_xyz
'x,y,z'
loop_
_atom_site_label
_atom_site_type_symbol
_atom_site_fract_x
_atom_site_fract_y
_atom_site_fract_z
_atom_site_occupancy
La1 La 0.000 0.000 0.000 1
La2 La 0.000 0.000 0.248 1
La3 La 0.000 0.000 0.500 1
La4 La 0.000 0.000 0.752 1
La5 La 0.000 0.500 0.124 1
La6 La 0.000 0.500 0.372 1
La7 La 0.000 0.500 0.628 1
La8 La 0.000 0.500 0.876 1
La9 La 0.500 0.000 0.124 1
La10 La 0.500 0.000 0.372 1
La11 La 0.500 0.000 0.628 1
La12 La 0.500 0.000 0.876 1
Nd1 Nd 0.500 0.500 0.500 1
Mg1 Mg 0.500 0.500 0.000 1
Mg2 Mg 0.500 0.500 0.246 1
Mg3 Mg 0.500 0.500 0.754 1

No. 10
# La7Nd3Mg (GGA-PBE, optimized geometry)
# symmetry: C2/m, No. 12
# ΔH_f (0 K): 0.1968 eV per atom
data_La7Nd3Mg
_chemical_formula_sum 'La7 Nd3 Mg1'
_cell_length_a 7.880
_cell_length_b 7.880
_cell_length_c 6.604
_cell_angle_alpha 90.07
_cell_angle_beta 90.07
_cell_angle_gamma 83.89
_symmetry_space_group_name_H-M 'P 1'
_symmetry_Int_Tables_number 1
loop_
_symmetry_equiv_pos_as_xyz
'x,y,z'
loop_
_atom_site_label
_atom_site_type_symbol
_atom_site_fract_x
_atom_site_fract_y
_atom_site_fract_z
_atom_site_occupancy
La1 La 0.000 0.000 0.000 1
La2 La 0.050 0.394 0.272 1
La3 La 0.260 0.260 0.794 1
La4 La 0.394 0.050 0.272 1
La5 La 0.606 0.950 0.728 1
La6 La 0.740 0.740 0.206 1
La7 La 0.950 0.606 0.728 1
Nd1 Nd 0.334 0.666 0.000 1
Nd2 Nd 0.500 0.500 0.500 1
Nd3 Nd 0.666 0.334 0.000 1
Mg1 Mg 0.000 0.000 0.500 1